Entry from Alexandria via LeMat-Bulk: an optimized crystal structure of K3Mg2ZnF9 (PBE).

Properties
E_form (uncorrected)	-3.05	eV per atom
N(E_F)	0.00	states/eV/f.u.

Structure (POSCAR):
```
K3Mg2ZnF9
1.0
5.761 0.000 0.000
-2.880 4.989 0.000
0.000 0.000 7.064
K Mg Zn F
3 2 1 9
Direct
0.000 0.000 0.000
0.333 0.667 0.664
0.667 0.333 0.336
0.333 0.667 0.162
0.667 0.333 0.838
0.000 0.000 0.500
0.000 0.500 0.000
0.169 0.338 0.330
0.169 0.831 0.330
0.338 0.169 0.670
0.500 0.000 0.000
0.500 0.500 0.000
0.662 0.831 0.330
0.831 0.169 0.670
0.831 0.662 0.670
```

***

Entry from Alexandria via LeMat-Bulk: an optimized crystal structure of K3MgZn2F9 (PBE).

Properties
E_form (uncorrected)	-2.81	eV per atom
N(E_F)	0.00	states/eV/f.u.

Structure (POSCAR):
```
K3MgZn2F9
1.0
5.801 0.000 0.000
-2.900 5.024 0.000
0.000 0.000 7.106
K Mg Zn F
3 1 2 9
Direct
0.000 0.000 0.000
0.333 0.667 0.670
0.667 0.333 0.330
0.000 0.000 0.500
0.333 0.667 0.171
0.667 0.333 0.829
0.000 0.500 0.000
0.164 0.329 0.337
0.164 0.836 0.337
0.329 0.164 0.663
0.500 0.000 0.000
0.500 0.500 0.000
0.671 0.836 0.337
0.836 0.164 0.663
0.836 0.671 0.663
```

***

Entry from Alexandria via LeMat-Bulk: an optimized crystal structure of K2MgZn3F12 (PBE).

Properties
E_form (uncorrected)	-2.39	eV per atom
N(E_F)	7.96	states/eV/f.u.

Structure (POSCAR):
```
K2MgZn3F12
1.0
3.692 2.131 5.868
-3.692 2.131 5.868
0.000 -4.263 5.868
K Mg Zn F
2 1 3 12
Direct
0.135 0.135 0.135
0.865 0.865 0.865
0.500 0.500 0.500
0.000 0.500 0.500
0.500 0.000 0.500
0.500 0.500 0.000
0.174 0.576 0.576
0.177 0.177 0.573
0.177 0.573 0.177
0.424 0.424 0.826
0.424 0.826 0.424
0.427 0.823 0.823
0.573 0.177 0.177
0.576 0.174 0.576
0.576 0.576 0.174
0.823 0.427 0.823
0.823 0.823 0.427
0.826 0.424 0.424
```

***

Entry from Alexandria via LeMat-Bulk: an optimized crystal structure of K2Mg3ZrF12 (PBE).

Properties
E_form (uncorrected)	-3.41	eV per atom
N(E_F)	0.00	states/eV/f.u.

Structure (POSCAR):
```
K2Mg3ZrF12
1.0
3.670 2.119 6.433
-3.670 2.119 6.433
0.000 -4.238 6.433
K Mg Zr F
2 3 1 12
Direct
0.086 0.086 0.086
0.914 0.914 0.914
0.000 0.500 0.500
0.500 0.000 0.500
0.500 0.500 0.000
0.500 0.500 0.500
0.176 0.572 0.572
0.185 0.185 0.580
0.185 0.580 0.185
0.420 0.815 0.815
0.428 0.428 0.824
0.428 0.824 0.428
0.572 0.176 0.572
0.572 0.572 0.176
0.580 0.185 0.185
0.815 0.420 0.815
0.815 0.815 0.420
0.824 0.428 0.428
```

***

Entry from Alexandria via LeMat-Bulk: an optimized crystal structure of KMgZr2F (PBE).

Properties
E_form (uncorrected)	0.87	eV per atom
N(E_F)	3.68	states/eV/f.u.

Structure (POSCAR):
```
KMgZr2F
1.0
5.192 0.000 0.000
0.000 5.192 0.000
0.000 0.000 7.051
K Mg Zr F
1 1 2 1
Direct
0.000 0.000 0.000
0.000 0.000 0.500
0.000 0.500 0.500
0.500 0.000 0.500
0.500 0.500 0.000
```

***

Entry from Alexandria via LeMat-Bulk: an optimized crystal structure of K2MgZrF (PBE).

Properties
E_form (uncorrected)	-0.05	eV per atom
N(E_F)	5.78	states/eV/f.u.

Structure (POSCAR):
```
K2MgZrF
1.0
7.264 0.000 0.000
0.000 7.264 0.000
0.000 0.000 3.704
K Mg Zr F
2 1 1 1
Direct
0.000 0.500 0.000
0.500 0.000 0.000
0.000 0.000 0.000
0.500 0.500 0.500
0.000 0.000 0.500
```

***

For each record above, in turn, the calculated uncorrected energy values are -4.69, -4.43, -4.06, -5.52, -3.46, -2.89 eV per atom.